RbNiCl6 PBE relaxed; raw formation energy = -0.62 eV per atom; theoretical density = 2.674 g/cm³; calculated total energy = -2.85 eV per atom; M_tot = 0.97 μB per cell; energy above the most stable polymorph in this dataset = 24.1 meV/atom
1.0
4.7392 2.7362 2.8486
-4.7392 2.7362 2.8486
0.0000 -5.4724 2.8486
Rb Ni Cl
1 1 6
Direct
0.0000 0.0000 0.0000 Rb
0.5000 0.5000 0.5000 Ni
0.2381 0.2381 0.5683 Cl
0.2381 0.5683 0.2381 Cl
0.4317 0.7619 0.7619 Cl
0.5683 0.2381 0.2381 Cl
0.7619 0.4317 0.7619 Cl
0.7619 0.7619 0.4317 Cl